This record from the Alexandria database describes crystalline InHgAs at its relaxed geometry. The functional is PBEsol.

Geometry as CIF:
```
data_InHgAs
_chemical_formula_sum 'In1 Hg1 As1'
_cell_length_a 3.1929
_cell_length_b 3.1929
_cell_length_c 7.5343
_cell_angle_alpha 90.00
_cell_angle_beta 90.00
_cell_angle_gamma 120.00
_space_group_name_H-M_alt 'P 3 m 1'
_space_group_IT_number 156
loop_
_space_group_symop_operation_xyz
'x,y,z'
'-y,x-y,z'
'-x+y,-x,z'
'-y,-x,z'
'-x+y,y,z'
'x,x-y,z'
loop_
_atom_site_label
_atom_site_type_symbol
_atom_site_fract_x
_atom_site_fract_y
_atom_site_fract_z
_atom_site_occupancy
In1 In 0.0000 0.0000 0.0000 1
Hg1 Hg 0.6667 0.3333 0.3495 1
As1 As 0.3333 0.6667 0.6768 1
```

energy of formation	202	meV/atom
total magnetization	0.0	μB per cell
final energy	-8.05	eV/f.u.